{
  "formula": "K2SeBr",
  "functional": "PBE-GGA",
  "state": "optimized geometry",
  "lattice_angstrom": [[-5.2168, 3.6903, -1.5988], [-4.7969, 1.4536, -4.2740], [-3.4913, -3.7972, 2.6268]],
  "species": ["Se", "K", "K", "Br"],
  "fractional_positions": [[0.4965, 0.4965, 0.6250], [0.7583, 0.7583, 0.6250], [0.9908, 0.9908, 0.1250], [0.2544, 0.2544, 0.1250]],
  "rho_g_cm3": 3.0,
  "dft_energy_ev_per_atom": -2.9382,
  "dos_at_fermi_per_ev_cell": 3.9,
  "m_tot_mub_per_atom": 0.040,
  "e_form_raw_mev_per_atom": -1100
}

{
  "formula": "K6SeBr4",
  "functional": "PBE-GGA",
  "state": "optimized geometry",
  "lattice_angstrom": [[-6.9408, -6.0591, -2.8431], [1.2541, -5.0478, 8.1190], [-6.6643, 5.3285, 4.4905]],
  "species": ["K", "Se", "Br", "K", "Br", "K", "K", "K", "Br", "K", "K", "Br", "K", "K", "Br", "Br", "Br", "K", "Se", "K", "K", "Br"],
  "fractional_positions": [[0.3072, 0.9546, 0.9326], [0.5000, 0.5000, 0.5000], [0.4008, 0.0992, 0.2500], [0.8072, 0.5674, 0.5454], [0.2500, 0.2500, 0.7500], [0.1928, 0.4326, 0.4546], [0.4546, 0.8072, 0.4326], [0.6928, 0.0454, 0.0674], [0.7500, 0.4008, 0.9008], [0.0674, 0.3072, 0.0454], [0.0454, 0.9326, 0.3072], [0.7500, 0.7500, 0.2500], [0.5454, 0.1928, 0.5674], [0.4326, 0.5454, 0.8072], [0.0992, 0.7500, 0.5992], [0.9008, 0.2500, 0.4008], [0.2500, 0.5992, 0.0992], [0.9326, 0.6928, 0.9546], [0.0000, 0.0000, 0.0000], [0.9546, 0.0674, 0.6928], [0.5674, 0.4546, 0.1928], [0.5992, 0.9008, 0.7500]],
  "rho_g_cm3": 2.3,
  "dft_energy_ev_per_atom": -3.0045,
  "m_tot_mub_per_atom": 0.007,
  "e_form_raw_mev_per_atom": -1481
}

{
  "formula": "K3SeBr",
  "functional": "PBE-GGA",
  "state": "optimized geometry",
  "lattice_angstrom": [[6.1907, 0.0000, 0.0000], [0.0000, 6.1907, 0.0000], [0.0000, 0.0000, 6.1907]],
  "species": ["K", "Se", "Br", "K", "K"],
  "fractional_positions": [[0.0000, 0.0000, 0.5000], [0.0000, 0.0000, 0.0000], [0.5000, 0.5000, 0.5000], [0.0000, 0.5000, 0.0000], [0.5000, 0.0000, 0.0000]],
  "rho_g_cm3": 1.9,
  "dft_energy_ev_per_atom": -2.8834,
  "dos_at_fermi_per_ev_cell": 0.0,
  "m_tot_mub_per_atom": 0.000,
  "e_form_raw_mev_per_atom": -1193
}

{
  "formula": "KSeBr2",
  "functional": "PBE-GGA",
  "state": "optimized geometry",
  "lattice_angstrom": [[4.4090, 0.0000, 0.0000], [0.0000, 4.6990, -0.0055], [0.0000, 2.3632, 6.5674]],
  "species": ["K", "Br", "Br", "Se"],
  "fractional_positions": [[0.5000, 0.2500, 0.2500], [0.0000, 0.8274, 0.9759], [0.0000, 0.6726, 0.5241], [0.5000, 0.7500, 0.7500]],
  "rho_g_cm3": 3.4,
  "dft_energy_ev_per_atom": -2.5431,
  "dos_at_fermi_per_ev_cell": 1.2,
  "m_tot_mub_per_atom": 0.000,
  "e_form_raw_mev_per_atom": -561
}

{
  "formula": "K2SeBr",
  "functional": "PBE-GGA",
  "state": "optimized geometry",
  "lattice_angstrom": [[4.4864, 0.0050, -0.0022], [2.2381, 3.8882, -0.0022], [2.2512, 1.3033, 8.5665]],
  "species": ["Se", "K", "Br", "K"],
  "fractional_positions": [[0.7500, 0.7500, 0.7500], [0.9952, 0.9952, 0.0128], [0.2500, 0.2500, 0.2500], [0.5048, 0.5048, 0.4872]],
  "rho_g_cm3": 2.6,
  "dft_energy_ev_per_atom": -2.9575,
  "dos_at_fermi_per_ev_cell": 1.4,
  "m_tot_mub_per_atom": 0.252,
  "e_form_raw_mev_per_atom": -1119
}

{
  "formula": "KSeBr2",
  "functional": "PBE-GGA",
  "state": "optimized geometry",
  "lattice_angstrom": [[5.6399, 0.0000, 0.0000], [2.8199, 4.8843, 0.0000], [2.8199, 1.6281, 4.6049]],
  "species": ["K", "Br", "Br", "Se"],
  "fractional_positions": [[0.5000, 0.5000, 0.5000], [0.0000, 0.0000, 0.0000], [0.2500, 0.2500, 0.2500], [0.7500, 0.7500, 0.7500]],
  "rho_g_cm3": 3.6,
  "dft_energy_ev_per_atom": -2.1733,
  "dos_at_fermi_per_ev_cell": 2.2,
  "m_tot_mub_per_atom": 0.766,
  "e_form_raw_mev_per_atom": -191
}

{
  "formula": "K3Se5Br12",
  "functional": "PBE-GGA",
  "state": "optimized geometry",
  "lattice_angstrom": [[16.3368, 0.0000, 0.0000], [-5.4456, 15.4025, 0.0000], [-5.4456, -7.7013, 13.3390]],
  "species": ["Se", "Br", "K", "Br", "Br", "Br", "Br", "K", "Se", "Br", "K", "Br", "K", "K", "Br", "Br", "Se", "Br", "Br", "K", "K", "Br", "Br", "Se", "Br", "Br", "Br", "Br", "Se", "Br", "Br", "Se", "Br", "Br", "Br", "Se", "Br", "Br", "Br", "Br", "Br", "K", "Br", "Br", "Se", "Br", "Br", "Br", "Br", "Br", "Br", "Br", "Br", "Br", "Br", "Br", "Se", "Se", "Br", "Se", "Se", "Se", "Se", "Br", "Br", "Se", "K", "Se", "Br", "K", "Br", "Se", "K", "Br", "Se", "Br", "Se", "Br", "K", "Se"],
  "fractional_positions": [[0.5000, 0.0000, 0.0000], [0.8319, 0.3192, 0.9322], [0.7500, 0.3750, 0.1250], [0.6808, 0.5127, 0.6131], [0.9322, 0.1131, 0.6003], [0.8869, 0.0678, 0.8997], [0.4322, 0.3319, 0.3192], [0.8750, 0.7500, 0.1250], [0.1250, 0.3750, 0.2500], [0.0678, 0.8869, 0.3997], [0.2500, 0.6250, 0.8750], [0.3319, 0.4322, 0.8192], [0.7500, 0.8750, 0.6250], [0.8750, 0.1250, 0.2500], [0.0678, 0.1808, 0.1681], [0.3319, 0.8997, 0.0127], [0.3750, 0.2500, 0.1250], [0.9322, 0.8192, 0.8319], [0.8869, 0.8192, 0.4873], [0.3750, 0.7500, 0.6250], [0.1250, 0.8750, 0.7500], [0.1808, 0.1131, 0.0127], [0.4322, 0.1003, 0.6131], [0.2500, 0.3750, 0.6250], [0.4873, 0.1681, 0.1003], [0.3997, 0.0127, 0.8319], [0.1131, 0.9322, 0.1003], [0.1808, 0.0678, 0.6681], [0.7500, 0.6250, 0.3750], [0.4873, 0.3192, 0.8869], [0.1681, 0.4873, 0.6003], [0.2500, 0.8750, 0.1250], [0.8192, 0.9322, 0.3319], [0.8192, 0.8869, 0.9873], [0.3192, 0.4873, 0.3869], [0.5000, 0.0000, 0.5000], [0.1131, 0.1808, 0.5127], [0.6681, 0.5678, 0.1808], [0.5127, 0.6808, 0.1131], [0.3192, 0.8319, 0.4322], [0.5127, 0.8319, 0.8997], [0.1250, 0.2500, 0.8750], [0.6003, 0.6131, 0.9322], [0.1003, 0.4322, 0.1131], [0.0000, 0.0000, 0.5000], [0.6681, 0.1003, 0.9873], [0.6003, 0.9873, 0.1681], [0.3869, 0.9873, 0.3192], [0.9873, 0.3869, 0.8192], [0.6131, 0.0127, 0.6808], [0.8997, 0.5678, 0.8869], [0.3997, 0.3869, 0.0678], [0.8997, 0.3319, 0.5127], [0.8319, 0.5127, 0.3997], [0.5678, 0.8997, 0.3869], [0.6131, 0.6003, 0.4322], [0.6250, 0.8750, 0.2500], [0.6250, 0.7500, 0.8750], [0.1681, 0.6808, 0.0678], [0.8750, 0.2500, 0.6250], [0.3750, 0.1250, 0.7500], [0.1250, 0.7500, 0.3750], [0.5000, 0.5000, 0.0000], [0.1003, 0.6681, 0.4873], [0.3869, 0.3997, 0.5678], [0.0000, 0.0000, 0.0000], [0.2500, 0.1250, 0.3750], [0.5000, 0.5000, 0.5000], [0.5678, 0.6681, 0.6808], [0.6250, 0.2500, 0.3750], [0.9873, 0.6003, 0.6681], [0.7500, 0.1250, 0.8750], [0.6250, 0.3750, 0.7500], [0.6808, 0.1681, 0.5678], [0.8750, 0.6250, 0.7500], [0.0127, 0.3997, 0.3319], [0.0000, 0.5000, 0.5000], [0.0127, 0.6131, 0.1808], [0.3750, 0.6250, 0.2500], [0.0000, 0.5000, 0.0000]],
  "rho_g_cm3": 2.9,
  "dft_energy_ev_per_atom": -2.3999,
  "dos_at_fermi_per_ev_cell": 19.5,
  "m_tot_mub_per_atom": 0.000,
  "e_form_raw_mev_per_atom": -360
}

{
  "formula": "K2SeBr",
  "functional": "PBE-GGA",
  "state": "optimized geometry",
  "lattice_angstrom": [[-4.6125, -1.5777, 2.9532], [-5.1932, 1.4914, -1.8143], [-3.5236, -3.9500, -2.1136]],
  "species": ["K", "K", "Se", "Br"],
  "fractional_positions": [[0.7500, 0.7500, 0.7500], [0.2500, 0.2500, 0.2500], [0.0000, 0.0000, 0.0000], [0.5000, 0.5000, 0.5000]],
  "rho_g_cm3": 3.0,
  "dft_energy_ev_per_atom": -2.8776,
  "dos_at_fermi_per_ev_cell": 6.9,
  "m_tot_mub_per_atom": 0.250,
  "e_form_raw_mev_per_atom": -1040
}

{
  "formula": "KSeBr2",
  "functional": "PBE-GGA",
  "state": "optimized geometry",
  "lattice_angstrom": [[-1.6898, -3.4281, -4.4573], [5.5671, 1.6431, 0.3508], [3.9825, -3.9890, 1.2738]],
  "species": ["Br", "Br", "Se", "K"],
  "fractional_positions": [[0.0000, 0.0000, 0.0000], [0.5000, 0.0000, 0.5000], [0.5000, 0.5000, 0.0000], [0.0000, 0.5000, 0.5000]],
  "rho_g_cm3": 3.3,
  "dft_energy_ev_per_atom": -2.5396,
  "dos_at_fermi_per_ev_cell": 3.1,
  "m_tot_mub_per_atom": 0.000,
  "e_form_raw_mev_per_atom": -558
}

{
  "formula": "KSeBr2",
  "functional": "PBE-GGA",
  "state": "optimized geometry",
  "lattice_angstrom": [[-6.1544, 2.1676, 5.8032], [-4.7381, -1.3720, 7.2056], [2.1352, 1.9368, 2.7320]],
  "species": ["Br", "Br", "K", "Se"],
  "fractional_positions": [[0.7593, 0.7593, 0.7217], [0.0311, 0.0311, 0.9928], [0.4499, 0.4499, 0.5640], [0.2597, 0.2597, 0.2215]],
  "rho_g_cm3": 3.4,
  "dft_energy_ev_per_atom": -2.5263,
  "dos_at_fermi_per_ev_cell": 4.0,
  "m_tot_mub_per_atom": 0.026,
  "e_form_raw_mev_per_atom": -544
}

{
  "formula": "K2SeBr",
  "functional": "PBE-GGA",
  "state": "optimized geometry",
  "lattice_angstrom": [[-0.5513, -4.4653, -3.8575], [4.5742, -2.7647, 2.5606], [-2.2289, -1.6403, 2.2146]],
  "species": ["K", "Br", "K", "Se"],
  "fractional_positions": [[0.0000, 0.0000, 0.0000], [0.0000, 0.5000, 0.5000], [0.5000, 0.5000, 0.0000], [0.5000, 0.0000, 0.5000]],
  "rho_g_cm3": 3.2,
  "dft_energy_ev_per_atom": -2.9528,
  "dos_at_fermi_per_ev_cell": 4.5,
  "m_tot_mub_per_atom": 0.000,
  "e_form_raw_mev_per_atom": -1115
}

{
  "formula": "K2SeBr",
  "functional": "PBE-GGA",
  "state": "optimized geometry",
  "lattice_angstrom": [[-4.3537, -7.1497, 4.0209], [-0.4190, -9.2637, 0.5004], [4.1368, 8.3143, -0.0222]],
  "species": ["K", "Se", "Br", "K"],
  "fractional_positions": [[0.9449, 0.9449, 0.0000], [0.5528, 0.5528, 0.0000], [0.7973, 0.2973, 0.5000], [0.2050, 0.7050, 0.5000]],
  "rho_g_cm3": 2.8,
  "dft_energy_ev_per_atom": -2.9366,
  "dos_at_fermi_per_ev_cell": 1.7,
  "m_tot_mub_per_atom": 0.030,
  "e_form_raw_mev_per_atom": -1099
}

Please write out number 9 again, unchanged.
{
  "formula": "KSeBr2",
  "functional": "PBE-GGA",
  "state": "optimized geometry",
  "lattice_angstrom": [[-1.6898, -3.4281, -4.4573], [5.5671, 1.6431, 0.3508], [3.9825, -3.9890, 1.2738]],
  "species": ["Br", "Br", "Se", "K"],
  "fractional_positions": [[0.0000, 0.0000, 0.0000], [0.5000, 0.0000, 0.5000], [0.5000, 0.5000, 0.0000], [0.0000, 0.5000, 0.5000]],
  "rho_g_cm3": 3.3,
  "dft_energy_ev_per_atom": -2.5396,
  "dos_at_fermi_per_ev_cell": 3.1,
  "m_tot_mub_per_atom": 0.000,
  "e_form_raw_mev_per_atom": -558
}